Here is crystalline NaTl2NiPb at its relaxed geometry from Alexandria via LeMat-Bulk. Energies are from PBE-GGA.

Lattice parameters (Å, degrees): 5.168 5.168 5.240 90.00 90.00 90.00
Element x y z (fractional)
1 Pb 0.000 0.000 0.500
2 Ni 0.000 0.000 0.000
3 Tl 0.000 0.500 0.000
4 Tl 0.500 0.000 0.000
5 Na 0.500 0.500 0.500

Results
The density of states at the Fermi level is 2.91 states/eV per cell. Its energy of formation from the pure elements is 0.058 eV per atom. For the theoretical density, the calculation gives 8.28 g/cm³. The space group is P4/mmm, No. 123.